Entry 1
Material: TaFe2H
Method: DFT, GGA-PBE
State: optimized geometry

The space group is Fd-3m (No. 227, origin choice 2) and the conventional cell measures 7.016, 7.016 and 7.016 Å, with angles of 90.00, 90.00 and 90.00 degrees. The distinct sites, in fractional coordinates, are Ta at (0.125, 0.125, 0.125), Fe at (0.000, 0.000, 0.500) and H at (0.125, 0.125, 0.625).

As for the total moment: 2.0 μB/f.u. The crystal system is cubic.

***

Entry 2
Material: TaFe2H
Method: DFT, GGA-PBE
State: optimized geometry

The space group is Fm-3m (No. 225) and the conventional cell measures 5.690, 5.690 and 5.690 Å, with angles of 90.00, 90.00 and 90.00 degrees. The distinct sites, in fractional coordinates, are Ta at (0.000, 0.000, 0.000), Fe at (0.250, 0.250, 0.250) and H at (0.000, 0.000, 0.500).

As for the total moment: 1.7 μB/f.u. The crystal system is cubic.

***

Energies in meV per atom, measured from the most stable structure: entry 1 0; entry 2 602.

***

Entry 1
Material: Ta2FeH2
Method: DFT, GGA-PBE
State: optimized geometry

The space group is P4/mmm (No. 123) and the conventional cell measures 2.997, 2.997 and 6.051 Å, with angles of 90.00, 90.00 and 90.00 degrees. The distinct sites, in fractional coordinates, are Ta at (0.000, 0.000, 0.242), Fe at (0.500, 0.500, 0.500) and H at (0.000, 0.500, 0.000).

As for the total moment: 1.3 μB/f.u. The crystal system is tetragonal.

***

Entry 2
Material: Ta2FeH2
Method: DFT, GGA-PBE
State: optimized geometry

The space group is I4/mmm (No. 139) and the conventional cell measures 3.009, 3.009 and 11.624 Å, with angles of 90.00, 90.00 and 90.00 degrees. The distinct sites, in fractional coordinates, are Ta at (0.000, 0.000, 0.135), Fe at (0.000, 0.000, 0.500) and H at (0.000, 0.500, 0.250).

As for the total moment: 1.4 μB/f.u. The crystal system is tetragonal.

***

Energies in meV per atom, measured from the most stable structure: entry 1 122; entry 2 0.

***

Entry 1
Material: FeTcH2
Method: DFT, GGA-PBE
State: optimized geometry

The space group is Fm-3m (No. 225) and the conventional cell measures 5.083, 5.083 and 5.083 Å, with angles of 90.00, 90.00 and 90.00 degrees. The distinct sites, in fractional coordinates, are Fe at (0.000, 0.000, 0.000), Tc at (0.000, 0.000, 0.500) and H at (0.250, 0.250, 0.250).

As for the total moment: 3.0 μB/f.u. The crystal system is cubic.

***

Entry 2
Material: FeTcH2
Method: DFT, GGA-PBE
State: optimized geometry

The space group is Pbcm (No. 57) and the conventional cell measures 5.480, 4.825 and 4.423 Å, with angles of 90.00, 90.00 and 90.00 degrees. The distinct sites, in fractional coordinates, are Fe at (0.123, 0.080, 0.250), Tc at (0.372, 0.586, 0.250), H at (0.097, 0.750, 0.000) and H at (0.338, 0.250, 0.000).

As for the total moment: 1.2 μB/f.u. The crystal system is orthorhombic.

***

Energies in meV per atom, measured from the most stable structure: entry 1 598; entry 2 0.